Entry 1:
Density functional theory data (PBE) for an optimized crystal structure of KFe2Sb.

Structure (CIF):
```
data_KFe2Sb
_cell_length_a 3.2396
_cell_length_b 4.6660
_cell_length_c 6.7152
_cell_angle_alpha 90.00
_cell_angle_beta 95.38
_cell_angle_gamma 90.00
_symmetry_space_group_name_H-M 'P 1 2/m 1'
_symmetry_Int_Tables_number 10
loop_
_symmetry_equiv_pos_as_xyz
'x,y,z'
'-x,-y,-z'
'-x,y,-z'
'x,-y,z'
loop_
_atom_site_label
_atom_site_type_symbol
_atom_site_fract_x
_atom_site_fract_y
_atom_site_fract_z
K1 K 0.0000 0.0000 0.0000
Fe1 Fe 0.2693 0.5000 0.6245
Sb1 Sb 0.5000 0.0000 0.5000
```

Properties
The total energy is -4.995 eV per atom. The energy above the most stable polymorph in this dataset is 0.335 eV/atom. Its uncorrected formation energy is 209 kJ/mol of formula units.

---

Entry 2:
Density functional theory data (PBE) for an optimized crystal structure of K2FeSb.

Structure (CIF):
```
data_K2FeSb
_cell_length_a 3.3452
_cell_length_b 3.3452
_cell_length_c 10.8210
_cell_angle_alpha 90.00
_cell_angle_beta 90.00
_cell_angle_gamma 90.00
_symmetry_space_group_name_H-M 'P 4/m m m'
_symmetry_Int_Tables_number 123
_symmetry_space_group_name_Hall '-P 4 2'
loop_
_atom_site_label
_atom_site_type_symbol
_atom_site_fract_x
_atom_site_fract_y
_atom_site_fract_z
K1 K 0.0000 0.0000 0.2484
Fe1 Fe 0.5000 0.5000 0.5000
Sb1 Sb 0.5000 0.5000 0.0000
```

Properties
The total energy is -3.117 eV per atom. Its uncorrected formation energy is 223 kJ/mol of formula units.

---

Entry 3:
Density functional theory data (PBE) for an optimized crystal structure of KFe2Sb.

Structure (CIF):
```
data_KFe2Sb
_cell_length_a 3.5565
_cell_length_b 3.5565
_cell_length_c 7.4998
_cell_angle_alpha 90.00
_cell_angle_beta 90.00
_cell_angle_gamma 90.00
_symmetry_space_group_name_H-M 'P 4/m m m'
_symmetry_Int_Tables_number 123
_symmetry_space_group_name_Hall '-P 4 2'
loop_
_atom_site_label
_atom_site_type_symbol
_atom_site_fract_x
_atom_site_fract_y
_atom_site_fract_z
K1 K 0.0000 0.0000 0.0000
Fe1 Fe 0.5000 0.5000 0.3503
Sb1 Sb 0.0000 0.0000 0.5000
```

Properties
The total energy is -4.929 eV per atom. The energy above the most stable polymorph in this dataset is 0.402 eV/atom. Its uncorrected formation energy is 234 kJ/mol of formula units.